## IrPt3 (PBE)

Data for an optimized crystal structure of IrPt3.

Computed properties:
Its formation energy from the elements is 0.12 eV per atom. Its total energy is -6.63 eV/atom.

a b c (Å): 4.797 4.797 2.714
angles (deg): 90.00 90.00 90.00
Positions (direct):
Ir 0.000 0.000 0.000
Pt 0.000 0.500 0.500
Pt 0.500 0.500 0.000
Pt 0.500 0.000 0.500

## ZnOsW2 (PBE)

Data for an optimized crystal structure of ZnOsW2.

Computed properties:
Its formation energy from the elements is 0.18 eV per atom. Its total energy is -9.42 eV/atom.

a b c (Å): 2.796 2.796 7.806
angles (deg): 90.00 90.00 90.00
Positions (direct):
Os 0.500 0.500 0.750
W 0.000 0.000 0.506
W 0.000 0.000 0.994
Zn 0.500 0.500 0.250

## MnSi2Sb (PBE)

Data for an optimized crystal structure of MnSi2Sb.

Computed properties:
Its total energy is -5.80 eV/atom.

a b c (Å): 6.618 6.618 6.618
angles (deg): 32.46 32.46 32.46
Positions (direct):
Si 0.973 0.973 0.973
Si 0.249 0.249 0.249
Mn 0.516 0.516 0.516
Sb 0.762 0.762 0.762

## InRh3Se (PBE)

Data for an optimized crystal structure of InRh3Se.

Computed properties:
Its total energy is -4.29 eV/atom. The calculation puts the excess energy over the best structure of this formula in the dataset at 1.106 eV per atom.

a b c (Å): 4.883 4.883 4.883
angles (deg): 90.00 90.00 90.00
Positions (direct):
Se 0.500 0.500 0.500
In 0.000 0.000 0.000
Rh 0.500 0.000 0.000
Rh 0.000 0.000 0.500
Rh 0.000 0.500 0.000